1.
Entry from the Alexandria database: a geometry-optimized MnTc2Pt structure (PBE-GGA).

Properties
Total energy   -36.055 eV/cell
Space group   No. 160

Cell lengths 9.032, 9.032, 9.032 Å; angles 17.57, 17.57, 17.57 degrees
Atoms (fractional coordinates):
Pt: 0.752 0.752 0.752
Tc: 0.251 0.251 0.251
Tc: 0.996 0.996 0.996
Mn: 0.501 0.501 0.501



2.
Entry from the Alexandria database: a geometry-optimized MnTc2Pt structure (PBE-GGA).

Properties
Total energy   -34.483 eV/cell
Space group   No. 225

Cell lengths 4.319, 4.319, 4.319 Å; angles 60.00, 60.00, 60.00 degrees
Atoms (fractional coordinates):
Tc: 0.250 0.250 0.250
Tc: 0.750 0.750 0.750
Mn: 0.000 0.000 0.000
Pt: 0.500 0.500 0.500



3.
Entry from the Alexandria database: a geometry-optimized Mn2TcPt structure (PBE-GGA).

Properties
Total energy   -35.026 eV/cell
Space group   No. 119

Cell lengths 4.782, 4.782, 4.782 Å; angles 134.01, 134.02, 67.06 degrees
Atoms (fractional coordinates):
Tc: 0.250 0.750 0.500
Mn: 0.750 0.250 0.500
Mn: 0.000 0.000 0.000
Pt: 0.500 0.500 0.000



4.
Entry from the Alexandria database: a geometry-optimized MnTcPt2 structure (PBE-GGA).

Properties
Total energy   -32.182 eV/cell
Space group   No. 25

Cell lengths 2.750, 3.854, 5.547 Å; angles 90.00, 90.00, 90.00 degrees
Atoms (fractional coordinates):
Pt: 0.500 0.500 0.263
Pt: 0.000 0.000 0.986
Tc: 0.000 0.000 0.503
Mn: 0.500 0.500 0.747



5.
Entry from the Alexandria database: a geometry-optimized MnTc2Pt structure (PBE-GGA).

Properties
Total energy   -36.316 eV/cell
Space group   No. 22

Cell lengths 4.666, 4.666, 4.664 Å; angles 130.87, 130.87, 72.05 degrees
Atoms (fractional coordinates):
Mn: 0.500 0.500 0.000
Pt: 0.250 0.750 0.500
Tc: 0.000 0.000 0.000
Tc: 0.750 0.250 0.500



6.
Entry from the Alexandria database: a geometry-optimized MnTcPt2 structure (PBE-GGA).

Properties
Total energy   -32.206 eV/cell
Space group   No. 99

Cell lengths 2.734, 2.734, 7.853 Å; angles 90.00, 90.00, 90.00 degrees
Atoms (fractional coordinates):
Tc: 0.000 0.000 0.510
Pt: 0.000 0.000 0.985
Mn: 0.500 0.500 0.745
Pt: 0.500 0.500 0.260



7.
Entry from the Alexandria database: a geometry-optimized MnTcPt2 structure (PBE-GGA).

Properties
Total energy   -32.513 eV/cell
Space group   No. 139

Cell lengths 4.801, 4.801, 4.801 Å; angles 132.83, 132.82, 68.93 degrees
Atoms (fractional coordinates):
Pt: 0.500 0.500 0.000
Mn: 0.250 0.750 0.500
Pt: 0.000 0.000 0.000
Tc: 0.750 0.250 0.500



8.
Entry from the Alexandria database: a geometry-optimized MnTc2Pt structure (PBE-GGA).

Properties
Total energy   -36.138 eV/cell
Space group   No. 8

Cell lengths 4.713, 4.713, 4.776 Å; angles 81.07, 81.07, 33.17 degrees
Atoms (fractional coordinates):
Pt: 0.750 0.750 0.743
Tc: 0.002 0.002 0.011
Tc: 0.246 0.246 0.247
Mn: 0.502 0.502 0.500



9.
Entry from the Alexandria database: a geometry-optimized TiMnTcPt structure (PBE-GGA).

Properties
Total energy   -35.170 eV/cell
Space group   No. 216

Cell lengths 4.368, 4.368, 4.368 Å; angles 60.00, 60.00, 60.00 degrees
Atoms (fractional coordinates):
Ti: 0.250 0.250 0.250
Pt: 0.500 0.500 0.500
Mn: 0.750 0.750 0.750
Tc: 0.000 0.000 0.000



10.
Entry from the Alexandria database: a geometry-optimized Ti2MnTcPt structure (PBE-GGA).

Properties
Total energy   -36.618 eV/cell
Space group   No. 123

Cell lengths 4.728, 4.820, 4.728 Å; angles 90.00, 90.00, 90.00 degrees
Atoms (fractional coordinates):
Pt: 0.000 0.000 0.000
Mn: 0.500 0.500 0.500
Ti: 0.500 0.000 0.000
Ti: 0.000 0.000 0.500
Tc: 0.000 0.500 0.000



11.
Entry from the Alexandria database: a geometry-optimized MnTl2TcPt structure (PBE-GGA).

Properties
Total energy   -25.262 eV/cell
Space group   No. 123

Cell lengths 5.302, 4.814, 5.302 Å; angles 90.00, 90.00, 90.00 degrees
Atoms (fractional coordinates):
Mn: 0.500 0.500 0.500
Pt: 0.000 0.500 0.000
Tc: 0.000 0.000 0.000
Tl: 0.000 0.000 0.500
Tl: 0.500 0.000 0.000



12.
Entry from the Alexandria database: a geometry-optimized MnTePt3 structure (PBE-GGA).

Properties
Total energy   -26.118 eV/cell
Formation energy from raw total energies   0.863 eV/atom
Space group   No. 221

Cell lengths 4.623, 4.623, 4.623 Å; angles 90.00, 90.00, 90.00 degrees
Atoms (fractional coordinates):
Pt: 0.000 0.000 0.500
Pt: 0.500 0.000 0.000
Mn: 0.000 0.000 0.000
Pt: 0.000 0.500 0.000
Te: 0.500 0.500 0.500